# LiCrNF2 (GGA+U, optimized geometry)
data_LiCrNF2
_chemical_formula_sum 'Li1 Cr1 N1 F2'
_cell_length_a 3.444
_cell_length_b 3.444
_cell_length_c 4.182
_cell_angle_alpha 90.00
_cell_angle_beta 90.00
_cell_angle_gamma 90.00
_symmetry_space_group_name_H-M 'P 4/m m m'
_symmetry_Int_Tables_number 123
_symmetry_space_group_name_Hall '-P 4 2'
loop_
_atom_site_label
_atom_site_fract_x
_atom_site_fract_y
_atom_site_fract_z
Li1 0.000 0.000 0.000
Cr1 0.500 0.500 0.500
N1 0.000 0.000 0.500
F1 0.000 0.500 0.000
# - E above lowest polymorph (meV per atom) = 580